Entry 1:
{
  "formula": "Er6Sn2PbSe3",
  "functional": "PBE-GGA",
  "state": "relaxed",
  "cell": [[4.218, 0.000, 0.000], [0.000, 8.481, 0.204], [-2.109, -2.551, 8.887]],
  "species": ["Er", "Er", "Er", "Er", "Er", "Er", "Sn", "Sn", "Pb", "Se", "Se", "Se"],
  "frac_coords": [[0.330, 0.919, 0.660], [0.666, 0.585, 0.331], [0.670, 0.081, 0.340], [0.998, 0.258, 0.996], [0.002, 0.742, 0.004], [0.334, 0.415, 0.669], [0.834, 0.668, 0.668], [0.166, 0.332, 0.332], [0.500, 0.000, 0.000], [0.500, 0.500, 0.000], [0.833, 0.168, 0.667], [0.167, 0.832, 0.333]],
  "total_magnetization_mub_per_atom": 0.000,
  "dft_energy_ev_per_atom": -5.264
}


Entry 2:
{
  "formula": "ErSnPb2Se5",
  "functional": "PBE-GGA",
  "state": "relaxed",
  "cell": [[4.202, 0.000, 0.000], [-2.101, 9.123, 0.000], [0.000, 0.000, 13.609]],
  "species": ["Er", "Er", "Sn", "Sn", "Pb", "Pb", "Pb", "Pb", "Se", "Se", "Se", "Se", "Se", "Se", "Se", "Se", "Se", "Se"],
  "frac_coords": [[0.788, 0.575, 0.523], [0.212, 0.425, 0.023], [0.543, 0.086, 0.945], [0.457, 0.914, 0.445], [0.868, 0.735, 0.798], [0.119, 0.237, 0.660], [0.132, 0.265, 0.298], [0.881, 0.763, 0.160], [0.366, 0.733, 0.009], [0.686, 0.373, 0.884], [0.484, 0.967, 0.764], [0.280, 0.560, 0.667], [0.945, 0.890, 0.573], [0.634, 0.267, 0.509], [0.314, 0.627, 0.384], [0.516, 0.033, 0.264], [0.720, 0.440, 0.167], [0.055, 0.110, 0.073]],
  "total_magnetization_mub_per_atom": 0.000,
  "dft_energy_ev_per_atom": -4.517
}


Entry 3:
{
  "formula": "Er6SnPb2Se3",
  "functional": "PBE-GGA",
  "state": "relaxed",
  "cell": [[4.227, 0.000, 0.000], [0.000, 8.495, 0.206], [-2.113, -2.554, 8.902]],
  "species": ["Er", "Er", "Er", "Er", "Er", "Er", "Sn", "Pb", "Pb", "Se", "Se", "Se"],
  "frac_coords": [[0.332, 0.923, 0.664], [0.663, 0.590, 0.326], [0.668, 0.077, 0.336], [0.997, 0.251, 0.995], [0.003, 0.749, 0.005], [0.337, 0.410, 0.674], [0.500, 0.000, 0.000], [0.833, 0.665, 0.665], [0.167, 0.335, 0.335], [0.500, 0.500, 0.000], [0.833, 0.166, 0.667], [0.167, 0.834, 0.333]],
  "total_magnetization_mub_per_atom": 0.000,
  "dft_energy_ev_per_atom": -5.199
}


Entry 4:
{
  "formula": "TbErPbSe",
  "functional": "PBE-GGA",
  "state": "relaxed",
  "cell": [[4.289, 0.000, 0.000], [0.000, 4.282, 0.258], [0.000, -0.362, 6.011]],
  "species": ["Tb", "Er", "Pb", "Se"],
  "frac_coords": [[0.500, 0.391, 0.093], [0.000, 0.892, 0.592], [0.000, 0.891, 0.092], [0.500, 0.392, 0.593]],
  "total_magnetization_mub_per_atom": 0.000,
  "dft_energy_ev_per_atom": -5.190
}